# 1
VASP calculation (PBE) on an optimized crystal structure of Sm3ErCd6.

Lattice parameters (Å, degrees): 9.326 5.180 11.119 90.00 104.98 90.00
Space group P2_1/m (No. 11)
Symmetry-distinct sites (fractional):
Sm: 0.028 0.250 0.392 (multiplicity 2)
Sm: 0.152 0.750 0.217 (multiplicity 2)
Sm: 0.261 0.250 0.002 (multiplicity 2)
Er: 0.447 0.250 0.602 (multiplicity 2)
Cd: 0.049 0.750 0.911 (multiplicity 2)
Cd: 0.169 0.250 0.706 (multiplicity 2)
Cd: 0.267 0.750 0.515 (multiplicity 2)
Cd: 0.353 0.750 0.813 (multiplicity 2)
Cd: 0.364 0.250 0.305 (multiplicity 2)
Cd: 0.451 0.750 0.109 (multiplicity 2)

Calculated values
The calculation puts the total energy at -2.71 eV/atom.



# 2
VASP calculation (PBE) on an optimized crystal structure of NaLiPrGa.

Lattice parameters (Å, degrees): 7.310 7.310 7.310 90.00 90.00 90.00
Space group F-43m (No. 216)
Symmetry-distinct sites (fractional):
Na: 0.000 0.000 0.000 (multiplicity 4)
Li: 0.250 0.250 0.250 (multiplicity 4)
Pr: 0.000 0.000 0.500 (multiplicity 4)
Ga: 0.250 0.250 0.750 (multiplicity 4)

Calculated values
The calculation puts the total energy at -2.89 eV/atom.



# 3
VASP calculation (PBE) on an optimized crystal structure of Ti2NbCoIr.

Lattice parameters (Å, degrees): 4.345 4.345 4.583 90.00 90.00 90.00
Space group P4/mmm (No. 123)
Symmetry-distinct sites (fractional):
Ti: 0.000 0.500 0.000 (multiplicity 2)
Nb: 0.000 0.000 0.500 (multiplicity 1)
Co: 0.000 0.000 0.000 (multiplicity 1)
Ir: 0.500 0.500 0.500 (multiplicity 1)

Calculated values
The calculation puts the total energy at -8.01 eV/atom.



Calculated formation energy readings, ordered: -2.901, -0.526, 1.772 eV per formula unit
Total moment readings, ordered: 0.7, 0.0, 0.0 Bohr magnetons per cell